Entry 1:
{"formula": "ZrCrGa3", "functional": "PBE-GGA", "state": "relaxed", "magnetic_moment_mub_per_fu": 3.997, "energy_ev_per_atom": -4.576, "spacegroup": "Pm-3m, No. 221", "cell": [[5.156, 0.000, 0.000], [0.000, 5.156, 0.000], [0.000, 0.000, 5.156]], "species": ["Zr", "Cr", "Ga", "Ga", "Ga"], "frac_coords": [[0.000, 0.000, 0.000], [0.500, 0.500, 0.500], [0.000, 0.000, 0.500], [0.000, 0.500, 0.000], [0.500, 0.000, 0.000]]}

Entry 2:
{"formula": "Sm2ErBi3", "functional": "PBE-GGA", "state": "relaxed", "magnetic_moment_mub_per_fu": 0.000, "energy_ev_per_atom": -5.158, "spacegroup": "Immm, No. 71", "cell": [[-2.261, 3.198, 6.782], [2.261, -3.198, 6.782], [2.261, 3.198, -6.782]], "species": ["Sm", "Sm", "Er", "Bi", "Bi", "Bi"], "frac_coords": [[0.168, 0.168, 0.000], [0.832, 0.832, 0.000], [0.500, 0.500, 0.000], [0.000, 0.500, 0.500], [0.338, 0.838, 0.500], [0.662, 0.162, 0.500]]}

Entry 3:
{"formula": "PmGa2AgPt5", "functional": "PBE-GGA", "state": "relaxed", "magnetic_moment_mub_per_fu": 0.000, "energy_ev_per_atom": -5.450, "spacegroup": "P4/mmm, No. 123", "cell": [[4.117, 0.000, 0.000], [0.000, 4.117, 0.000], [0.000, 0.000, 9.639]], "species": ["Pm", "Ga", "Ga", "Ag", "Pt", "Pt", "Pt", "Pt", "Pt"], "frac_coords": [[0.000, 0.000, 0.000], [0.500, 0.500, 0.374], [0.500, 0.500, 0.626], [0.000, 0.000, 0.500], [0.000, 0.500, 0.227], [0.000, 0.500, 0.773], [0.500, 0.000, 0.227], [0.500, 0.000, 0.773], [0.500, 0.500, 0.000]]}

Entry 4:
{"formula": "Hf2CuHRu", "functional": "PBE-GGA", "state": "relaxed", "magnetic_moment_mub_per_fu": 0.000, "energy_ev_per_atom": -7.681, "spacegroup": "P4/mmm, No. 123", "cell": [[4.586, 0.000, 0.000], [0.000, 4.586, 0.000], [0.000, 0.000, 3.349]], "species": ["Hf", "Hf", "Cu", "H", "Ru"], "frac_coords": [[0.000, 0.500, 0.000], [0.500, 0.000, 0.000], [0.000, 0.000, 0.500], [0.000, 0.000, 0.000], [0.500, 0.500, 0.500]]}

Entry 5:
{"formula": "Pu3SI7", "functional": "PBE-GGA", "state": "relaxed", "magnetic_moment_mub_per_fu": 15.000, "e_form_raw_kj_per_mol_fu": -1218, "energy_ev_per_atom": -6.418, "spacegroup": "P3m1, No. 156", "cell": [[8.806, 0.000, 0.000], [-4.403, 7.626, 0.000], [0.000, 0.000, 7.495]], "species": ["Pu", "Pu", "Pu", "S", "I", "I", "I", "I", "I", "I", "I"], "frac_coords": [[0.016, 0.508, 0.000], [0.492, 0.508, 0.000], [0.492, 0.984, 0.000], [0.333, 0.667, 0.847], [0.167, 0.334, 0.246], [0.167, 0.833, 0.246], [0.338, 0.169, 0.770], [0.666, 0.833, 0.246], [0.667, 0.333, 0.242], [0.831, 0.169, 0.770], [0.831, 0.662, 0.770]]}

Entry 6:
{"formula": "CaThGa3", "functional": "PBE-GGA", "state": "relaxed", "magnetic_moment_mub_per_fu": 0.000, "energy_ev_per_atom": -4.269, "spacegroup": "Cmcm, No. 63", "cell": [[2.137, -13.161, 0.000], [2.137, 13.161, 0.000], [0.000, 0.000, 4.253]], "species": ["Ca", "Ca", "Th", "Th", "Ga", "Ga", "Ga", "Ga", "Ga", "Ga"], "frac_coords": [[0.204, 0.796, 0.750], [0.796, 0.204, 0.250], [0.071, 0.929, 0.250], [0.929, 0.071, 0.750], [0.329, 0.671, 0.750], [0.382, 0.618, 0.250], [0.476, 0.524, 0.250], [0.524, 0.476, 0.750], [0.618, 0.382, 0.750], [0.671, 0.329, 0.250]]}

Entry 7:
{"formula": "Ta2PAu", "functional": "PBE-GGA", "state": "relaxed", "magnetic_moment_mub_per_fu": 0.000, "energy_ev_per_atom": -8.301, "spacegroup": "Immm, No. 71", "cell": [[-1.800, 2.414, 3.892], [1.800, -2.414, 3.892], [1.800, 2.414, -3.892]], "species": ["Ta", "Ta", "P", "Au"], "frac_coords": [[0.214, 0.214, 0.000], [0.786, 0.786, 0.000], [0.000, 0.500, 0.500], [0.500, 0.000, 0.500]]}

Entry 8:
{"formula": "ScTaReI2", "functional": "PBE-GGA", "state": "relaxed", "magnetic_moment_mub_per_fu": 1.882, "e_form_raw_kj_per_mol_fu": 893, "energy_ev_per_atom": -4.895, "spacegroup": "P4/mmm, No. 123", "cell": [[5.376, 0.000, 0.000], [0.000, 5.376, 0.000], [0.000, 0.000, 5.562]], "species": ["Sc", "Ta", "Re", "I", "I"], "frac_coords": [[0.000, 0.000, 0.000], [0.000, 0.000, 0.500], [0.500, 0.500, 0.500], [0.000, 0.500, 0.000], [0.500, 0.000, 0.000]]}

Entry 9:
{"formula": "Ac2Pm3HoSe6", "functional": "PBE-GGA", "state": "relaxed", "magnetic_moment_mub_per_fu": 0.000, "e_form_raw_kj_per_mol_fu": -2090, "energy_ev_per_atom": -5.801, "spacegroup": "C2/m, No. 12", "cell": [[3.694, -6.417, 0.000], [3.694, 6.417, 0.000], [-2.487, 0.000, 6.947]], "species": ["Ac", "Ac", "Pm", "Pm", "Pm", "Ho", "Se", "Se", "Se", "Se", "Se", "Se"], "frac_coords": [[0.165, 0.835, 0.000], [0.835, 0.165, 0.000], [0.000, 0.000, 0.500], [0.325, 0.675, 0.500], [0.675, 0.325, 0.500], [0.500, 0.500, 0.000], [0.100, 0.416, 0.746], [0.272, 0.272, 0.262], [0.416, 0.100, 0.746], [0.584, 0.900, 0.254], [0.728, 0.728, 0.738], [0.900, 0.584, 0.254]]}

Entry 10:
{"formula": "RbBaAlO3", "functional": "PBE-GGA", "state": "relaxed", "magnetic_moment_mub_per_fu": 0.000, "e_form_raw_kj_per_mol_fu": -1254, "energy_ev_per_atom": -5.750, "spacegroup": "C2/m, No. 12", "cell": [[7.128, -1.938, 0.000], [7.128, 1.938, 0.000], [-2.373, 0.000, 7.995]], "species": ["Rb", "Rb", "Ba", "Ba", "Al", "Al", "O", "O", "O", "O", "O", "O"], "frac_coords": [[0.147, 0.147, 0.066], [0.853, 0.853, 0.934], [0.159, 0.159, 0.594], [0.841, 0.841, 0.406], [0.492, 0.492, 0.714], [0.508, 0.508, 0.286], [0.008, 0.008, 0.322], [0.361, 0.361, 0.669], [0.378, 0.378, 0.198], [0.622, 0.622, 0.802], [0.639, 0.639, 0.331], [0.992, 0.992, 0.678]]}

Entry 11:
{"formula": "La2Tb3In", "functional": "PBE-GGA", "state": "relaxed", "magnetic_moment_mub_per_fu": 0.000, "energy_ev_per_atom": -4.552, "spacegroup": "Cmmm, No. 65", "cell": [[2.474, -7.635, 0.000], [2.474, 7.635, 0.000], [0.000, 0.000, 4.997]], "species": ["La", "La", "Tb", "Tb", "Tb", "In"], "frac_coords": [[0.165, 0.835, 0.000], [0.835, 0.165, 0.000], [0.000, 0.000, 0.500], [0.340, 0.660, 0.500], [0.660, 0.340, 0.500], [0.500, 0.500, 0.000]]}

Entry 12:
{"formula": "Pu2ZnW", "functional": "PBE-GGA", "state": "relaxed", "magnetic_moment_mub_per_fu": 9.588, "energy_ev_per_atom": -10.201, "spacegroup": "R-3m, No. 166", "cell": [[1.434, 0.828, 11.510], [-1.434, 0.828, 11.510], [0.000, -1.656, 11.510]], "species": ["Pu", "Pu", "Zn", "W"], "frac_coords": [[0.089, 0.089, 0.089], [0.911, 0.911, 0.911], [0.000, 0.000, 0.000], [0.500, 0.500, 0.500]]}

Entry 13:
{"formula": "CsKTlSb2", "functional": "PBE-GGA", "state": "relaxed", "magnetic_moment_mub_per_fu": 0.000, "e_form_raw_kj_per_mol_fu": -115, "energy_ev_per_atom": -2.751, "spacegroup": "Imm2, No. 44", "cell": [[-2.217, 3.038, 7.476], [2.217, -3.038, 7.476], [2.217, 3.038, -7.476]], "species": ["Cs", "K", "Tl", "Sb", "Sb"], "frac_coords": [[0.000, 0.000, 0.000], [0.235, 0.735, 0.500], [0.411, 0.411, 0.000], [0.623, 0.623, 0.000], [0.756, 0.256, 0.500]]}

Entry 14:
{"formula": "Ac3Tm2Mg2Tl4", "functional": "PBE-GGA", "state": "relaxed", "magnetic_moment_mub_per_fu": 0.000, "energy_ev_per_atom": -3.288, "spacegroup": "P-3m1, No. 164", "cell": [[5.153, 0.000, 0.000], [-2.577, 4.463, 0.000], [0.000, 0.000, 15.758]], "species": ["Ac", "Ac", "Ac", "Tm", "Tm", "Mg", "Mg", "Tl", "Tl", "Tl", "Tl"], "frac_coords": [[0.000, 0.000, 0.000], [0.000, 0.000, 0.264], [0.000, 0.000, 0.736], [0.333, 0.667, 0.567], [0.667, 0.333, 0.433], [0.333, 0.667, 0.132], [0.667, 0.333, 0.868], [0.333, 0.667, 0.371], [0.333, 0.667, 0.875], [0.667, 0.333, 0.125], [0.667, 0.333, 0.629]]}

Entry 15:
{"formula": "Ho3Re2B9", "functional": "PBE-GGA", "state": "relaxed", "magnetic_moment_mub_per_fu": 0.000, "energy_ev_per_atom": -7.300, "spacegroup": "Immm, No. 71", "cell": [[-1.565, 4.023, 6.611], [1.565, -4.023, 6.611], [1.565, 4.023, -6.611]], "species": ["Ho", "Ho", "Ho", "Re", "Re", "B", "B", "B", "B", "B", "B", "B", "B", "B"], "frac_coords": [[0.000, 0.000, 0.000], [0.270, 0.270, 0.000], [0.730, 0.730, 0.000], [0.323, 0.500, 0.823], [0.677, 0.500, 0.177], [0.033, 0.362, 0.671], [0.122, 0.871, 0.251], [0.309, 0.638, 0.671], [0.379, 0.129, 0.251], [0.500, 0.000, 0.500], [0.621, 0.871, 0.749], [0.691, 0.362, 0.329], [0.878, 0.129, 0.749], [0.967, 0.638, 0.329]]}

Entry 16:
{"formula": "Na5HCl4", "functional": "PBE-GGA", "state": "relaxed", "magnetic_moment_mub_per_fu": 0.000, "energy_ev_per_atom": -3.196, "spacegroup": "R-3m, No. 166", "cell": [[1.965, 1.134, 16.037], [-1.965, 1.134, 16.037], [0.000, -2.269, 16.037]], "species": ["Na", "Na", "Na", "Na", "Na", "H", "Cl", "Cl", "Cl", "Cl"], "frac_coords": [[0.000, 0.000, 0.000], [0.195, 0.195, 0.195], [0.403, 0.403, 0.403], [0.597, 0.597, 0.597], [0.805, 0.805, 0.805], [0.500, 0.500, 0.500], [0.104, 0.104, 0.104], [0.299, 0.299, 0.299], [0.701, 0.701, 0.701], [0.896, 0.896, 0.896]]}

Entry 17:
{"formula": "CsSb2TeAs", "functional": "PBE-GGA", "state": "relaxed", "magnetic_moment_mub_per_fu": 0.920, "e_form_raw_kj_per_mol_fu": 71, "energy_ev_per_atom": -3.230, "spacegroup": "P4/mmm, No. 123", "cell": [[5.563, 0.000, 0.000], [0.000, 5.563, 0.000], [0.000, 0.000, 5.862]], "species": ["Cs", "Sb", "Sb", "Te", "As"], "frac_coords": [[0.000, 0.000, 0.000], [0.000, 0.500, 0.500], [0.500, 0.000, 0.500], [0.500, 0.500, 0.000], [0.500, 0.500, 0.500]]}

Entry 18:
{"formula": "Er2CdSi2Pd5", "functional": "PBE-GGA", "state": "relaxed", "magnetic_moment_mub_per_fu": 0.000, "e_form_raw_kj_per_mol_fu": -702, "energy_ev_per_atom": -5.413, "spacegroup": "P4/mbm, No. 127", "cell": [[9.967, 0.000, 0.000], [0.000, 9.967, 0.000], [0.000, 0.000, 3.607]], "species": ["Er", "Er", "Er", "Er", "Cd", "Cd", "Si", "Si", "Si", "Si", "Pd", "Pd", "Pd", "Pd", "Pd", "Pd", "Pd", "Pd", "Pd", "Pd"], "frac_coords": [[0.175, 0.325, 0.000], [0.325, 0.825, 0.000], [0.675, 0.175, 0.000], [0.825, 0.675, 0.000], [0.000, 0.000, 0.000], [0.500, 0.500, 0.000], [0.125, 0.625, 0.000], [0.375, 0.125, 0.000], [0.625, 0.875, 0.000], [0.875, 0.375, 0.000], [0.000, 0.500, 0.500], [0.062, 0.782, 0.500], [0.218, 0.062, 0.500], [0.282, 0.562, 0.500], [0.438, 0.282, 0.500], [0.500, 0.000, 0.500], [0.562, 0.718, 0.500], [0.718, 0.438, 0.500], [0.782, 0.938, 0.500], [0.938, 0.218, 0.500]]}

Entry 19:
{"formula": "CaAgP2Cl", "functional": "PBE-GGA", "state": "relaxed", "magnetic_moment_mub_per_fu": 0.640, "e_form_raw_kj_per_mol_fu": 10, "energy_ev_per_atom": -3.482, "spacegroup": "P4/mmm, No. 123", "cell": [[4.691, 0.000, 0.000], [0.000, 4.691, 0.000], [0.000, 0.000, 5.702]], "species": ["Ca", "Ag", "P", "P", "Cl"], "frac_coords": [[0.000, 0.000, 0.000], [0.500, 0.500, 0.500], [0.000, 0.500, 0.500], [0.500, 0.000, 0.500], [0.500, 0.500, 0.000]]}

Entry 20:
{"formula": "YMoAs2Os", "functional": "PBE-GGA", "state": "relaxed", "magnetic_moment_mub_per_fu": 0.003, "energy_ev_per_atom": -5.448, "spacegroup": "P4/mmm, No. 123", "cell": [[5.108, 0.000, 0.000], [0.000, 5.108, 0.000], [0.000, 0.000, 4.874]], "species": ["Y", "Mo", "As", "As", "Os"], "frac_coords": [[0.000, 0.000, 0.000], [0.500, 0.500, 0.500], [0.000, 0.500, 0.000], [0.500, 0.000, 0.000], [0.000, 0.000, 0.500]]}